Dy2CdRh3 GGA-PBE relaxed; D(E_F) = 1.69 states/eV/f.u.; total DFT energy (no corrections) = -6.0622 eV per atom; density = 11.0 g/cm3; total magnetic moment = 0.00 μB/atom; calculated formation energy = -0.7000 eV per atom
1.0
-3.3421 2.8663 -1.7422
1.3852 -3.7960 -2.4680
-8.1946 -6.3830 5.2184
Dy Cd Rh
4 2 6
direct
0.0000 0.0000 0.5000
0.3333 0.6667 0.1808
0.6667 0.3333 0.8192
0.0000 0.0000 0.0000
0.3333 0.6667 0.6657
0.6667 0.3333 0.3343
0.3333 0.6667 0.4211
0.6667 0.3333 0.0830
0.0000 0.0000 0.7513
0.0000 0.0000 0.2487
0.3333 0.6667 0.9170
0.6667 0.3333 0.5789